No. 1
Computed, not measured: an optimized crystal structure of PmYSi at the GGA-PBE level of DFT.

Geometry as CIF:
```
data_PmYSi
_chemical_formula_sum 'Pm4 Y4 Si4'
_symmetry_space_group_name_H-M 'F -4 3 m'
_symmetry_Int_Tables_number 216
_symmetry_space_group_name_Hall 'F -4 2 3'
_cell_length_a 6.963
_cell_length_b 6.963
_cell_length_c 6.963
_cell_angle_alpha 90.00
_cell_angle_beta 90.00
_cell_angle_gamma 90.00
loop_
_atom_site_label
_atom_site_fract_x
_atom_site_fract_y
_atom_site_fract_z
_atom_site_occupancy
Pm1 0.000 0.000 0.000 1
Y1 0.000 0.000 0.500 1
Si1 0.250 0.250 0.250 1
```

Output
The energy above the most stable polymorph in this dataset comes out at 0 meV/atom. The value obtained for the raw total energy is -6.021 eV per atom. Its density is 5.2 g/cm3. The uncorrected formation energy comes out at -0.475 eV/atom.

No. 2
Computed, not measured: an optimized crystal structure of PmY2Si6 at the GGA-PBE level of DFT.

Geometry as CIF:
```
data_PmY2Si6
_chemical_formula_sum 'Pm1 Y2 Si6'
_symmetry_space_group_name_H-M 'P 6/m m m'
_symmetry_Int_Tables_number 191
_symmetry_space_group_name_Hall '-P 6 2'
_cell_length_a 7.1217
_cell_length_b 7.1217
_cell_length_c 4.0066
_cell_angle_alpha 90.00
_cell_angle_beta 90.00
_cell_angle_gamma 120.00
loop_
_atom_site_label
_atom_site_fract_x
_atom_site_fract_y
_atom_site_fract_z
_atom_site_occupancy
Pm1 0.0000 0.0000 0.0000 1
Y1 0.3333 0.6667 0.0000 1
Si1 0.0000 0.3351 0.5000 1
```

Output
The value obtained for the raw total energy is -6.126 eV per atom. Its density is 4.6 g/cm3. The uncorrected formation energy comes out at -0.546 eV/atom.

Question: Which of these has the highest raw total energy?
Answer: PmYSi

Question: Which of these has the highest uncorrected formation energy?
Answer: PmYSi